1.
10
Lattice="-1.649 -2.577 -2.030 5.626 -1.566 -2.584 0.948 -4.271 4.652" Properties=species:S:1:pos:R:3 comment="Nb2Si2Pd, optimized geometry, DFT GGA-PBEsol" density_g_cm3=7.73 e_tot_ev_per_atom=-8.49 total_magnetization_mub_per_fu=0.00 space_group="P4/mbm, No. 127" raw_formation_energy_ev_per_atom=-0.667 pbc="T T T"
Nb 0.780 -4.428 1.667
Nb 3.741 -5.877 1.100
Nb 1.183 -2.537 -1.062
Si 1.080 -1.785 1.388
Si 5.493 -4.052 0.680
Pd 3.287 -2.918 1.034
Pd 0.000 0.000 0.000
Si 3.665 -1.539 -1.024
Nb 4.144 -3.985 -1.629
Si 2.909 -4.297 3.092

=====

2.
5
Lattice="4.786 0.000 0.000 0.000 5.052 0.000 0.000 0.000 5.052" Properties=species:S:1:pos:R:3 comment="TaNbTe2Pd, optimized geometry, DFT GGA-PBEsol" density_g_cm3=8.64 e_tot_ev_per_atom=-6.00 total_magnetization_mub_per_fu=0.09 space_group="P4/mmm, No. 123" raw_formation_energy_ev_per_atom=1.281 pbc="T T T"
Ta 2.393 2.526 2.526
Nb 2.393 0.000 0.000
Te 0.000 2.526 0.000
Pd 0.000 0.000 0.000
Te 0.000 0.000 2.526

=====

3.
28
Lattice="-0.474 -2.766 -2.420 12.152 0.869 -3.375 3.840 -10.413 11.147" Properties=species:S:1:pos:R:3 comment="NbTe5Pd, optimized geometry, DFT GGA-PBEsol" density_g_cm3=7.55 e_tot_ev_per_atom=-5.31 total_magnetization_mub_per_fu=0.00 space_group="Pnma, No. 62" raw_formation_energy_ev_per_atom=-0.393 pbc="T T T"
Te 2.170 -2.456 0.963
Te 11.362 -11.836 7.043
Pd 12.613 -9.483 6.946
Pd 10.428 -4.296 1.446
Te 8.542 -4.854 -0.384
Pd 5.089 -8.015 3.906
Te 4.155 -0.474 -1.691
Nb 4.189 -4.040 2.377
Nb 11.328 -8.270 2.974
Pd 2.904 -2.827 -1.594
Te 9.721 -5.946 3.470
Nb 6.197 -9.241 7.926
Te 4.886 -11.773 8.240
Te 6.975 -7.457 5.735
Nb 9.320 -3.070 -2.575
Te 5.796 -6.365 1.881
Te 8.029 -10.530 6.203
Te 3.667 -5.853 4.551
Te 11.850 -6.458 0.801
Te 7.488 -1.781 -0.852
Te 4.867 -4.233 -0.373
Te 13.595 -6.688 3.559
Te 10.650 -8.077 5.724
Te 13.347 -9.854 4.388
Te 1.922 -5.623 1.793
Te 11.281 -2.688 -0.558
Te 4.236 -9.622 5.909
Te 10.631 -0.537 -2.889

=====

4.
5
Lattice="-1.445 3.706 -2.752 -3.503 0.998 3.183 3.007 2.943 2.386" Properties=species:S:1:pos:R:3 comment="Nb3TePd, optimized geometry, DFT GGA-PBEsol" density_g_cm3=7.52 e_tot_ev_per_atom=-7.28 total_magnetization_mub_per_fu=0.00 space_group="Pm-3m, No. 221" raw_formation_energy_ev_per_atom=1.108 pbc="T T T"
Te -0.970 3.824 1.409
Nb -1.751 0.499 1.591
Nb 1.503 1.472 1.193
Pd 0.000 0.000 0.000
Nb -0.722 1.853 -1.376

=====

5.
4
Lattice="-1.104 -3.415 2.634 2.738 -1.261 3.275 -1.120 0.735 4.245" Properties=species:S:1:pos:R:3 comment="Ti2NbPd, optimized geometry, DFT GGA-PBEsol" density_g_cm3=7.86 e_tot_ev_per_atom=-8.64 total_magnetization_mub_per_fu=0.00 space_group="Fm-3m, No. 225" pbc="T T T"
Ti 0.129 -0.985 2.538
Pd 0.257 -1.970 5.077
Ti 0.386 -2.956 7.615
Nb 0.000 0.000 0.000

=====

6.
4
Lattice="4.770 0.000 0.000 2.385 4.131 0.000 2.385 1.377 3.894" Properties=species:S:1:pos:R:3 comment="NbTl2Pd, optimized geometry, DFT GGA-PBEsol" density_g_cm3=13.16 e_tot_ev_per_atom=-5.22 total_magnetization_mub_per_fu=1.29 space_group="Fm-3m, No. 225" pbc="T T T"
Nb 0.000 0.000 0.000
Pd 4.770 2.754 1.947
Tl 7.154 4.131 2.921
Tl 2.385 1.377 0.974

=====

7.
5
Lattice="4.686 0.000 0.000 0.000 4.686 0.000 0.000 0.000 4.686" Properties=species:S:1:pos:R:3 comment="NbPd3W, optimized geometry, DFT GGA-PBEsol" density_g_cm3=9.62 e_tot_ev_per_atom=-7.04 total_magnetization_mub_per_fu=1.87 space_group="Pm-3m, No. 221" pbc="T T T"
Pd 0.000 0.000 2.343
Pd 2.343 0.000 0.000
Nb 2.343 2.343 2.343
W 0.000 0.000 0.000
Pd 0.000 2.343 0.000

=====

8.
12
Lattice="3.904 0.000 0.000 0.000 3.904 0.000 -1.952 -1.952 11.987" Properties=species:S:1:pos:R:3 comment="ZrNb2Pd9, optimized geometry, DFT GGA-PBEsol" density_g_cm3=11.22 e_tot_ev_per_atom=-7.60 total_magnetization_mub_per_fu=0.00 space_group="I4/mmm, No. 139" pbc="T T T"
Nb 1.952 1.952 4.005
Pd 0.000 1.952 5.994
Pd 1.952 1.952 0.000
Pd 0.000 0.000 4.025
Pd 0.000 1.952 2.060
Pd 1.952 0.000 2.060
Pd 1.952 0.000 9.927
Pd 0.000 1.952 9.927
Pd 1.952 0.000 5.994
Zr 0.000 0.000 0.000
Nb 0.000 0.000 7.982
Pd 1.952 1.952 7.963

=====

9.
4
Lattice="4.873 0.000 0.000 0.000 4.873 0.000 -2.436 -2.436 4.708" Properties=species:S:1:pos:R:3 comment="Pr3Nb, optimized geometry, DFT GGA-PBEsol" density_g_cm3=7.66 e_tot_ev_per_atom=-6.21 total_magnetization_mub_per_fu=0.00 space_group="I4/mmm, No. 139" pbc="T T T"
Pr 0.000 2.436 2.354
Pr 2.436 2.436 0.000
Nb 0.000 0.000 0.000
Pr 2.436 0.000 2.354

=====

10.
12
Lattice="2.788 0.000 0.000 0.000 4.962 0.000 0.000 0.000 13.825" Properties=species:S:1:pos:R:3 comment="NbPt, optimized geometry, DFT GGA-PBEsol" density_g_cm3=15.00 e_tot_ev_per_atom=-9.55 total_magnetization_mub_per_fu=0.00 space_group="Pmma, No. 51" pbc="T T T"
Pt 1.394 4.184 8.070
Pt 1.394 4.184 12.667
Nb 0.000 3.253 1.141
Nb 0.000 1.709 8.053
Nb 0.000 3.253 5.772
Nb 0.000 1.709 12.684
Pt 1.394 2.514 10.369
Pt 1.394 0.778 1.158
Nb 0.000 4.931 3.456
Nb 0.000 0.031 10.369
Pt 1.394 0.778 5.755
Pt 1.394 2.449 3.456

=====

11.
16
Lattice="4.872 0.000 -0.004 0.000 5.540 0.000 -1.715 0.000 9.131" Properties=species:S:1:pos:R:3 comment="NbPt3, optimized geometry, DFT GGA-PBEsol" density_g_cm3=18.28 e_tot_ev_per_atom=-8.60 total_magnetization_mub_per_fu=0.00 space_group="P2_1/m, No. 11" pbc="T T T"
Pt 2.365 1.385 7.959
Pt 0.825 4.155 5.697
Pt -0.082 0.009 8.007
Pt 0.792 4.155 1.167
Nb 0.783 1.385 5.683
Nb 2.374 4.155 3.443
Pt -0.061 2.775 3.414
Pt 3.218 2.765 5.712
Nb 2.340 4.155 7.965
Pt -0.082 2.761 8.007
Pt 3.240 5.532 1.119
Nb 0.817 1.385 1.162
Pt 2.332 1.385 3.429
Pt 3.240 2.779 1.119
Pt -0.061 5.536 3.414
Pt 3.218 0.005 5.712

=====

12.
30
Lattice="-2.076 -3.969 2.479 8.903 -4.283 0.598 1.611 4.553 8.639" Properties=species:S:1:pos:R:3 comment="Nb2Pt, optimized geometry, DFT GGA-PBEsol" density_g_cm3=12.61 e_tot_ev_per_atom=-10.01 total_magnetization_mub_per_fu=0.00 space_group="P4_2/mnm, No. 136" pbc="T T T"
Pt 8.723 -2.794 2.832
Nb 3.437 0.736 6.673
Nb 5.001 -4.435 5.043
Pt 0.000 0.000 0.000
Nb 4.317 -1.405 1.364
Nb 1.866 1.564 4.067
Pt 4.219 -1.849 5.858
Nb 2.388 -1.269 7.925
Nb 7.078 -2.745 9.435
Nb 7.088 -5.326 2.694
Pt 1.766 -1.031 5.115
Nb 8.130 -4.402 5.046
Nb 3.841 0.794 9.774
Nb 0.332 -2.919 3.508
Pt 3.191 -2.758 3.543
Pt 3.845 3.117 8.211
Nb 1.350 1.627 9.022
Nb 1.359 -0.954 2.281
Pt 6.668 -2.847 1.026
Nb 8.648 -1.294 5.170
Pt 5.246 -0.941 8.173
Nb 6.377 0.164 5.603
Nb 8.106 -0.780 8.208
Nb 6.197 1.676 7.872
Pt 1.790 3.064 6.405
Nb 4.596 -4.493 1.941
Pt 6.672 -2.668 6.601
Nb 4.136 0.106 3.634
Nb 6.049 -2.430 3.791
Nb 0.308 0.703 6.670

=====

13.
3
Lattice="-1.349 -2.664 3.851 -3.817 -3.015 -0.302 4.380 1.216 -1.757" Properties=species:S:1:pos:R:3 comment="NbPt2, optimized geometry, DFT GGA-PBEsol" density_g_cm3=17.16 e_tot_ev_per_atom=-8.96 total_magnetization_mub_per_fu=0.00 space_group="Immm, No. 71" pbc="T T T"
Pt -1.731 -1.903 1.189
Pt -3.435 -3.776 2.359
Nb 0.000 0.000 0.000

=====

14.
8
Lattice="-3.334 -0.911 -2.974 2.498 -3.855 -1.619 -2.494 -3.203 3.778" Properties=species:S:1:pos:R:3 comment="NbPt3, optimized geometry, DFT GGA-PBEsol" density_g_cm3=18.29 e_tot_ev_per_atom=-8.60 total_magnetization_mub_per_fu=0.00 space_group="Pmmn, No. 59" pbc="T T T"
Pt 0.405 -4.152 0.818
Nb 1.647 -2.542 -1.068
Pt -0.821 -1.761 -2.035
Pt -0.205 -4.474 -1.895
Pt -1.453 -6.077 -0.005
Pt -0.211 -1.438 0.677
Pt -1.457 -3.039 2.566
Nb -2.063 -3.370 -0.149

=====

15.
4
Lattice="4.440 0.000 0.000 2.220 3.845 0.000 2.220 1.282 3.625" Properties=species:S:1:pos:R:3 comment="NbRe2Pt, optimized geometry, DFT GGA-PBEsol" density_g_cm3=17.71 e_tot_ev_per_atom=-10.88 total_magnetization_mub_per_fu=0.00 space_group="Fm-3m, No. 225" pbc="T T T"
Nb 0.000 0.000 0.000
Re 2.220 1.282 0.906
Pt 4.440 2.564 1.813
Re 6.660 3.845 2.719

=====

16.
5
Lattice="-0.960 4.423 1.053 -4.524 -1.163 0.761 0.988 -0.868 4.546" Properties=species:S:1:pos:R:3 comment="NbRePt2Rh, optimized geometry, DFT GGA-PBEsol" density_g_cm3=12.32 e_tot_ev_per_atom=-7.66 total_magnetization_mub_per_fu=0.00 space_group="P4/mmm, No. 123" pbc="T T T"
Pt -2.262 -0.582 0.380
Rh -2.248 1.196 3.180
Re 0.000 0.000 0.000
Pt 0.494 -0.434 2.273
Nb -0.480 2.211 0.526

=====

17.
5
Lattice="-3.615 -2.847 -0.854 2.525 -2.095 -3.707 1.873 -3.324 3.154" Properties=species:S:1:pos:R:3 comment="Zr2NbRePt, optimized geometry, DFT GGA-PBEsol" density_g_cm3=9.51 e_tot_ev_per_atom=-8.75 total_magnetization_mub_per_fu=0.87 space_group="P4/mmm, No. 123" pbc="T T T"
Zr 1.263 -1.048 -1.854
Nb 0.391 -4.133 -0.703
Pt 0.000 0.000 0.000
Re -1.808 -1.424 -0.427
Zr 0.936 -1.662 1.577

=====

18.
5
Lattice="-3.004 3.690 -1.303 -3.792 -2.251 2.366 1.175 2.442 4.207" Properties=species:S:1:pos:R:3 comment="NbTl2PtRh, optimized geometry, DFT GGA-PBEsol" density_g_cm3=10.75 e_tot_ev_per_atom=-5.06 total_magnetization_mub_per_fu=0.94 space_group="P4/mmm, No. 123" pbc="T T T"
Pt 0.000 0.000 0.000
Tl -1.896 -1.125 1.183
Nb -1.502 1.845 -0.652
Tl 0.587 1.221 2.103
Rh -2.810 1.941 2.634

=====

19.
4
Lattice="4.387 0.000 0.000 2.193 3.799 0.000 2.193 1.266 3.582" Properties=species:S:1:pos:R:3 comment="NbRu2Pt, optimized geometry, DFT GGA-PBEsol" density_g_cm3=13.64 e_tot_ev_per_atom=-9.50 total_magnetization_mub_per_fu=0.00 space_group="Fm-3m, No. 225" pbc="T T T"
Nb 0.000 0.000 0.000
Ru 2.193 1.266 0.895
Pt 4.387 2.533 1.791
Ru 6.580 3.799 2.686

=====

20.
5
Lattice="5.120 0.000 0.000 0.000 5.120 0.000 0.000 0.000 5.120" Properties=species:S:1:pos:R:3 comment="NbSb3Pt, optimized geometry, DFT GGA-PBEsol" density_g_cm3=8.08 e_tot_ev_per_atom=-5.41 total_magnetization_mub_per_fu=2.23 space_group="Pm-3m, No. 221" raw_formation_energy_ev_per_atom=0.879 pbc="T T T"
Sb 2.560 0.000 0.000
Pt 0.000 0.000 0.000
Sb 0.000 2.560 0.000
Nb 2.560 2.560 2.560
Sb 0.000 0.000 2.560

=====

21.
4
Lattice="4.675 0.000 0.000 2.337 4.048 0.000 2.337 1.349 3.817" Properties=species:S:1:pos:R:3 comment="Sc2NbPt, optimized geometry, DFT GGA-PBEsol" density_g_cm3=8.69 e_tot_ev_per_atom=-8.11 total_magnetization_mub_per_fu=2.33 space_group="Fm-3m, No. 225" pbc="T T T"
Pt 4.675 2.699 1.908
Nb 0.000 0.000 0.000
Sc 2.337 1.349 0.954
Sc 7.012 4.048 2.863

=====

22.
4
Lattice="4.552 0.000 0.000 2.276 3.942 0.000 2.276 1.314 3.716" Properties=species:S:1:pos:R:3 comment="NbPtSe2, optimized geometry, DFT GGA-PBEsol" density_g_cm3=11.11 e_tot_ev_per_atom=-6.47 total_magnetization_mub_per_fu=0.00 space_group="Fm-3m, No. 225" raw_formation_energy_ev_per_atom=-0.103 pbc="T T T"
Pt 4.552 2.628 1.858
Nb 0.000 0.000 0.000
Se 6.827 3.942 2.787
Se 2.276 1.314 0.929

=====

23.
5
Lattice="-4.278 1.658 0.300 -0.316 0.014 -4.587 -1.655 -4.288 0.100" Properties=species:S:1:pos:R:3 comment="NbSi3Pt, optimized geometry, DFT GGA-PBEsol" density_g_cm3=6.36 e_tot_ev_per_atom=-6.08 total_magnetization_mub_per_fu=1.57 space_group="Pm-3m, No. 221" raw_formation_energy_ev_per_atom=0.929 pbc="T T T"
Pt 0.000 0.000 0.000
Nb -3.124 -1.308 -2.093
Si -0.828 -2.144 0.050
Si -0.158 0.007 -2.293
Si -2.139 0.829 0.150

=====

24.
8
Lattice="-2.262 -2.868 -4.171 1.125 -2.827 4.635 -3.738 3.842 1.420" Properties=species:S:1:pos:R:3 comment="NbSi2Pt, optimized geometry, DFT GGA-PBEsol" density_g_cm3=8.81 e_tot_ev_per_atom=-7.51 total_magnetization_mub_per_fu=0.00 space_group="I-42d, No. 122" raw_formation_energy_ev_per_atom=-0.190 pbc="T T T"
Si -3.042 -3.034 1.034
Si -2.116 -0.244 0.966
Pt -1.590 -0.917 3.143
Nb -3.284 -0.937 -1.260
Pt 0.000 0.000 0.000
Si 0.343 -2.095 2.556
Si -4.933 1.665 -0.788
Nb -0.568 -2.848 0.232